No. 1
The following is a DFT calculation (GGA-PBE) of a relaxed structure of La3TbPmTm.

Output
Raw total energy, eV per formula unit: -28.488
Magnetization, μB/atom: 0.00
ΔH_f (0 K), meV per atom: 24.4
Calculated volume, Å³ per cell: 415.0

a = 10.9625 Å, b = 3.6630 Å, c = 10.9730 Å
α = 90.00°, β = 109.64°, γ = 90.00°
With the nearest neighbours (Å) after each atom.
Space group P2_1/m (No. 11)
Unique sites:
La 0.1234 0.2500 0.4538 [2 per cell]  3 Tb 3.61-3.76, 2 Pm 3.63, 1 Tm 3.63, 6 La 3.66-3.69
La 0.3690 0.7500 0.0403 [2 per cell]  2 Tb 3.63, 1 Pm 3.63, 2 Tm 3.64, 7 La 3.66-3.75
La 0.3754 0.7500 0.7086 [2 per cell]  7 La 3.66-3.69, 3 Pm 3.67-3.68, 2 Tb 3.73
Tb 0.1193 0.2500 0.7949 [2 per cell]  3 Tm 3.56-3.58, 7 La 3.61-3.76, 2 Tb 3.66
Pm 0.3714 0.7500 0.3720 [2 per cell]  6 La 3.63-3.68, 4 Pm 3.66-3.72, 2 Tm 3.67
Tm 0.1194 0.2500 0.1213 [2 per cell]  4 Tm 3.55-3.66, 3 Tb 3.56-3.58, 3 La 3.63-3.64, 2 Pm 3.67



No. 2
The following is a DFT calculation (GGA-PBE) of a relaxed structure of SmDy2GaC.

Output
Raw total energy, eV per formula unit: -28.171
Magnetization, μB/atom: 0.00
ΔH_f (0 K), meV per atom: -399.4
Calculated volume, Å³ per cell: 118.2

a = 4.8652 Å, b = 4.8652 Å, c = 4.9939 Å
α = 90.00°, β = 90.00°, γ = 90.00°
With the nearest neighbours (Å) after each atom.
Space group P4/mmm (No. 123)
Unique sites:
Sm 0.0000 0.0000 0.0000 [1 per cell]  2 C 2.50
Dy 0.0000 0.5000 0.5000 [2 per cell]  2 C 2.43
Ga 0.5000 0.5000 0.0000 [1 per cell]  4 Sm 3.44, 8 Dy 3.49
C 0.0000 0.0000 0.5000 [1 per cell]  4 Dy 2.43, 2 Sm 2.50



No. 3
The following is a DFT calculation (GGA-PBE) of a relaxed structure of Ac12PrRh7.

Output
Raw total energy, eV per formula unit: -116.570
Magnetization, μB/atom: 0.00
ΔH_f (0 K), meV per atom: -551.4
Calculated volume, Å³ per cell: 2141.3

a = 15.3449 Å, b = 15.3449 Å, c = 10.5008 Å
α = 90.00°, β = 90.00°, γ = 120.00°
With the nearest neighbours (Å) after each atom.
Space group R-3 (No. 148, hexagonal axes)
Unique sites:
Ac 0.0271 0.5863 0.1621 [18 per cell]  3 Rh 2.91-2.97
Ac 0.0472 0.1712 0.8274 [18 per cell]  3 Rh 2.94-3.02
Pr 0.0000 0.0000 0.5000 [3 per cell]  6 Rh 3.10
Rh 0.0000 0.0000 0.0000 [3 per cell]  6 Ac 2.97
Rh 0.0471 0.1853 0.3326 [18 per cell]  5 Ac 2.91-3.02, 1 Pr 3.10



> What is the ΔH_f (0 K) in the second record?

-399.4 meV per atom